(1)
A plane-wave DFT calculation with GGA-PBE was carried out for CsRbAgP after structural relaxation.

The structure in CIF format:
```
data_CsRbAgP
_chemical_formula_sum 'Cs2 Rb2 Ag2 P2'
_cell_length_a 6.324
_cell_length_b 6.691
_cell_length_c 6.691
_cell_angle_alpha 106.51
_cell_angle_beta 90.00
_cell_angle_gamma 90.00
_space_group_name_H-M_alt 'P 1'
_space_group_IT_number 1
loop_
_space_group_symop_operation_xyz
'x,y,z'
loop_
_atom_site_label
_atom_site_type_symbol
_atom_site_fract_x
_atom_site_fract_y
_atom_site_fract_z
Ag1 Ag 0.249 0.498 0.498
Ag2 Ag 0.751 0.498 0.498
Cs1 Cs 0.500 0.689 0.035
Cs2 Cs 0.500 0.035 0.689
P1 P 0.500 0.260 0.260
P2 P 0.000 0.735 0.735
Rb1 Rb 0.000 0.972 0.313
Rb2 Rb 0.000 0.313 0.972
```

Summary:
VASP energy ... -2.81 eV per atom
Crystal system ... orthorhombic
Relative energy among the computed polymorphs ... 4 meV per atom
SG ... No. 38

(2)
A plane-wave DFT calculation with GGA-PBE was carried out for CsZnCd after structural relaxation.

The structure in CIF format:
```
data_CsZnCd
_chemical_formula_sum 'Cs1 Zn1 Cd1'
_cell_length_a 5.788
_cell_length_b 5.788
_cell_length_c 5.788
_cell_angle_alpha 60.00
_cell_angle_beta 60.00
_cell_angle_gamma 60.00
_space_group_name_H-M_alt 'P 1'
_space_group_IT_number 1
loop_
_space_group_symop_operation_xyz
'x,y,z'
loop_
_atom_site_label
_atom_site_type_symbol
_atom_site_fract_x
_atom_site_fract_y
_atom_site_fract_z
Cd1 Cd 0.000 0.000 0.000
Cs1 Cs 0.250 0.250 0.250
Zn1 Zn 0.750 0.750 0.750
```

Summary:
VASP energy ... -0.73 eV per atom
Crystal system ... cubic
SG ... No. 216

(3)
A plane-wave DFT calculation with GGA-PBE was carried out for CsSrPu after structural relaxation.

The structure in CIF format:
```
data_CsSrPu
_chemical_formula_sum 'Cs1 Sr1 Pu1'
_cell_length_a 6.533
_cell_length_b 6.533
_cell_length_c 6.533
_cell_angle_alpha 60.00
_cell_angle_beta 60.00
_cell_angle_gamma 60.00
_space_group_name_H-M_alt 'P 1'
_space_group_IT_number 1
loop_
_space_group_symop_operation_xyz
'x,y,z'
loop_
_atom_site_label
_atom_site_type_symbol
_atom_site_fract_x
_atom_site_fract_y
_atom_site_fract_z
Cs1 Cs 0.750 0.750 0.750
Pu1 Pu 0.250 0.250 0.250
Sr1 Sr 0.000 0.000 0.000
```

Summary:
VASP energy ... -4.53 eV per atom
Crystal system ... cubic
Relative energy among the computed polymorphs ... 0 meV per atom
SG ... No. 216
Magnetization ... 2.515 μB/atom

Which formula does entry 3 have?
CsSrPu

Please write out number 1 again, unchanged.
A plane-wave DFT calculation with GGA-PBE was carried out for CsRbAgP after structural relaxation.

The structure in CIF format:
```
data_CsRbAgP
_chemical_formula_sum 'Cs2 Rb2 Ag2 P2'
_cell_length_a 6.324
_cell_length_b 6.691
_cell_length_c 6.691
_cell_angle_alpha 106.51
_cell_angle_beta 90.00
_cell_angle_gamma 90.00
_space_group_name_H-M_alt 'P 1'
_space_group_IT_number 1
loop_
_space_group_symop_operation_xyz
'x,y,z'
loop_
_atom_site_label
_atom_site_type_symbol
_atom_site_fract_x
_atom_site_fract_y
_atom_site_fract_z
Ag1 Ag 0.249 0.498 0.498
Ag2 Ag 0.751 0.498 0.498
Cs1 Cs 0.500 0.689 0.035
Cs2 Cs 0.500 0.035 0.689
P1 P 0.500 0.260 0.260
P2 P 0.000 0.735 0.735
Rb1 Rb 0.000 0.972 0.313
Rb2 Rb 0.000 0.313 0.972
```

Summary:
VASP energy ... -2.81 eV per atom
Crystal system ... orthorhombic
Relative energy among the computed polymorphs ... 4 meV per atom
SG ... No. 38

VASP energy of number 2 (CsZnCd)?
-0.73 eV per atom

The highest VASP energy belongs to which entry?
CsZnCd